Computed, not measured: Li2MnOs after structural relaxation at the GGA-PBE level of DFT.

a b c (Å): 2.6745 4.4519 9.3162
angles (deg): 90.00 90.00 90.00
Closest atoms and distances in Å follow each position.
Space group Cmmm (No. 65)
Inequivalent atoms, fractional coordinates:
Li1 0.0000 0.0000 0.2465  6 Li 2.60-2.67, 2 Os 2.66, 2 Mn 2.71
Mn1 0.0000 0.5000 0.5000  6 Mn 2.60-2.67, 4 Li 2.71
Os1 0.0000 0.5000 0.0000  6 Os 2.60-2.67, 4 Li 2.66

Summary:
Relative energy among the computed polymorphs = 0.116 eV per atom
Formation energy = 0.298 eV/atom


Computed, not measured: LiMnOs2 after structural relaxation at the GGA-PBE level of DFT.

a b c (Å): 4.2649 4.2649 2.7736
angles (deg): 90.00 90.00 90.00
Closest atoms and distances in Å follow each position.
Space group P4/mmm (No. 123)
Inequivalent atoms, fractional coordinates:
Li1 0.0000 0.0000 0.0000  8 Os 2.54, 2 Li 2.77
Mn1 0.5000 0.5000 0.0000  8 Os 2.54, 2 Mn 2.77
Os1 0.0000 0.5000 0.5000  4 Mn 2.54, 4 Li 2.54, 2 Os 2.77

Summary:
Relative energy among the computed polymorphs = 0.219 eV per atom
Formation energy = 0.344 eV/atom


Computed, not measured: LiMnOs2 after structural relaxation at the GGA-PBE level of DFT.

a b c (Å): 2.8107 4.5170 9.0520
angles (deg): 90.00 90.00 90.00
Closest atoms and distances in Å follow each position.
Space group Cmm2 (No. 35)
Inequivalent atoms, fractional coordinates:
Li1 0.0000 0.0000 0.0000  6 Li 2.66-2.81, 2 Os 2.68, 2 Mn 2.74
Mn1 0.0000 0.5000 0.7396  2 Os 2.52, 6 Mn 2.66-2.81, 2 Li 2.74
Os1 0.0000 0.0000 0.5082  2 Mn 2.52, 8 Os 2.66-2.81
Os2 0.0000 0.5000 0.2522  8 Os 2.66-2.81, 2 Li 2.68

Summary:
Relative energy among the computed polymorphs = 0.317 eV per atom
Formation energy = 0.442 eV/atom


Table of total moment (μB/f.u.), in record order: 2.76, 1.63, 2.66
Table of N(E_F) (states/eV/f.u.), in record order: 3.51, 3.40, 4.18